The following is a DFT calculation (PBE-GGA) of a relaxed structure of La3Br.

Summary:
Calculated density   6.3 g cm⁻³
Total DFT energy (no corrections)   -18.3 eV/cell
Fermi-level density of states   4.67 states/eV per cell
SG   No. 71

a b c (Å): 7.476 7.476 7.476
angles (deg): 152.38 137.22 51.69
Atoms (fractional coordinates):
La  0.000  0.000  0.000
La  0.289  0.789  0.500
La  0.711  0.211  0.500
Br  0.500  0.500  0.000

***

The following is a DFT calculation (PBE-GGA) of a relaxed structure of La3Br.

Summary:
Calculated density   6.8 g cm⁻³
Total DFT energy (no corrections)   -17.4 eV/cell
Fermi-level density of states   5.72 states/eV per cell
SG   No. 221

a b c (Å): 4.952 4.952 4.952
angles (deg): 90.00 90.00 90.00
Atoms (fractional coordinates):
La  0.000  0.000  0.500
La  0.000  0.500  0.000
La  0.500  0.000  0.000
Br  0.500  0.500  0.500

***

The following is a DFT calculation (PBE-GGA) of a relaxed structure of LaBr3.

Summary:
Calculated density   4.0 g cm⁻³
Total DFT energy (no corrections)   -17.1 eV/cell
Fermi-level density of states   0.00 states/eV per cell
SG   No. 71

a b c (Å): 8.051 8.051 8.051
angles (deg): 151.74 140.57 49.21
Atoms (fractional coordinates):
La  0.000  0.000  0.000
Br  0.152  0.652  0.500
Br  0.500  0.500  0.000
Br  0.848  0.348  0.500

***

The following is a DFT calculation (PBE-GGA) of a relaxed structure of LaBr.

Summary:
Calculated density   3.8 g cm⁻³
Total DFT energy (no corrections)   -47.6 eV/cell
Fermi-level density of states   24.65 states/eV per cell
SG   No. 223

a b c (Å): 8.342 8.342 8.342
angles (deg): 90.00 90.00 90.00
Atoms (fractional coordinates):
La  0.000  0.250  0.500
La  0.000  0.750  0.500
La  0.250  0.500  0.000
La  0.500  0.000  0.250
La  0.500  0.000  0.750
La  0.750  0.500  0.000
Br  0.000  0.500  0.250
Br  0.000  0.500  0.750
Br  0.250  0.000  0.500
Br  0.500  0.250  0.000
Br  0.500  0.750  0.000
Br  0.750  0.000  0.500

***

The following is a DFT calculation (PBE-GGA) of a relaxed structure of LaBr3.

Summary:
Calculated density   3.4 g cm⁻³
Total DFT energy (no corrections)   -17.7 eV/cell
Fermi-level density of states   0.00 states/eV per cell
SG   No. 10

a b c (Å): 5.888 4.446 7.614
angles (deg): 90.00 112.60 90.00
Atoms (fractional coordinates):
La  0.000  0.000  0.000
Br  0.139  0.500  0.278
Br  0.500  0.000  0.000
Br  0.861  0.500  0.722

***

The following is a DFT calculation (PBE-GGA) of a relaxed structure of La3Br2.

Summary:
Calculated density   6.3 g cm⁻³
Total DFT energy (no corrections)   -21.8 eV/cell
Fermi-level density of states   4.52 states/eV per cell
SG   No. 164

a b c (Å): 5.222 5.222 6.423
angles (deg): 90.00 90.00 120.00
Atoms (fractional coordinates):
La  0.000  0.000  0.000
La  0.333  0.667  0.337
La  0.667  0.333  0.663
Br  0.333  0.667  0.829
Br  0.667  0.333  0.171

***

The following is a DFT calculation (PBE-GGA) of a relaxed structure of La3Br.

Summary:
Calculated density   6.5 g cm⁻³
Total DFT energy (no corrections)   -17.3 eV/cell
Fermi-level density of states   7.54 states/eV per cell
SG   No. 139

a b c (Å): 6.384 6.384 6.384
angles (deg): 135.17 135.17 65.26
Atoms (fractional coordinates):
La  0.000  0.000  0.000
La  0.250  0.750  0.500
La  0.750  0.250  0.500
Br  0.500  0.500  0.000

***

The following is a DFT calculation (PBE-GGA) of a relaxed structure of LaBr3.

Summary:
Calculated density   5.7 g cm⁻³
Total DFT energy (no corrections)   -15.7 eV/cell
SG   No. 221

a b c (Å): 4.792 4.792 4.792
angles (deg): 90.00 90.00 90.00
Atoms (fractional coordinates):
La  0.000  0.000  0.000
Br  0.000  0.500  0.500
Br  0.500  0.000  0.500
Br  0.500  0.500  0.000

***

The following is a DFT calculation (PBE-GGA) of a relaxed structure of La3Br2.

Summary:
Calculated density   5.8 g cm⁻³
Total DFT energy (no corrections)   -45.5 eV/cell
Fermi-level density of states   11.54 states/eV per cell
SG   No. 167

a b c (Å): 8.114 8.114 8.114
angles (deg): 54.91 54.91 54.91
Atoms (fractional coordinates):
La  0.090  0.750  0.410
La  0.250  0.590  0.910
La  0.410  0.090  0.750
La  0.590  0.910  0.250
La  0.750  0.410  0.090
La  0.910  0.250  0.590
Br  0.166  0.166  0.166
Br  0.334  0.334  0.334
Br  0.666  0.666  0.666
Br  0.834  0.834  0.834

***

The following is a DFT calculation (PBE-GGA) of a relaxed structure of Li3LaBr6.

Summary:
Calculated density   2.9 g cm⁻³
Total DFT energy (no corrections)   -37.1 eV/cell
Fermi-level density of states   0.00 states/eV per cell
SG   No. 2

a b c (Å): 7.940 7.958 7.959
angles (deg): 61.75 61.87 61.88
Atoms (fractional coordinates):
Li  0.000  0.000  0.000
Li  0.000  0.000  0.500
Li  0.000  0.500  0.000
La  0.500  0.500  0.500
Br  0.219  0.780  0.270
Br  0.222  0.267  0.783
Br  0.226  0.759  0.759
Br  0.774  0.241  0.241
Br  0.778  0.733  0.217
Br  0.781  0.220  0.730

***

The following is a DFT calculation (PBE-GGA) of a relaxed structure of Li2LaBr.

Summary:
Calculated density   3.7 g cm⁻³
Total DFT energy (no corrections)   -12.5 eV/cell
Fermi-level density of states   3.73 states/eV per cell
SG   No. 6

a b c (Å): 3.685 3.633 8.039
angles (deg): 90.00 102.86 90.00
Atoms (fractional coordinates):
Li  0.000  0.000  0.000
Li  0.401  0.500  0.800
La  0.644  0.500  0.295
Br  0.269  0.000  0.553

***

The following is a DFT calculation (PBE-GGA) of a relaxed structure of Li2LaBr4.

Summary:
Calculated density   3.9 g cm⁻³
Total DFT energy (no corrections)   -53.1 eV/cell
Fermi-level density of states   4.18 states/eV per cell
SG   No. 74

a b c (Å): 8.402 8.402 8.402
angles (deg): 125.91 118.12 86.68
Atoms (fractional coordinates):
Li  0.000  0.000  0.000
Li  0.378  0.628  0.750
Li  0.500  0.000  0.500
Li  0.622  0.372  0.250
La  0.000  0.000  0.500
La  0.000  0.500  0.000
Br  0.246  0.236  0.490
Br  0.246  0.757  0.010
Br  0.256  0.231  0.025
Br  0.294  0.769  0.525
Br  0.706  0.231  0.475
Br  0.744  0.769  0.975
Br  0.754  0.243  0.990
Br  0.754  0.764  0.510

***

For the records above, the corresponding energy relative to the elements, uncorrected values read -460, -226, -1799, -668, -1950, -724, -215, -1445, -928, -1640, -526, -1588 meV/atom.